The following is a DFT calculation (GGA+U) of an optimized crystal structure of Rb2V3AgF12.

Results
Final energy (eV/atom): -5.458
Crystal system: trigonal
V (A^3/atom): 16.76

Lattice parameters (Å, degrees): 7.4407 7.4407 7.4407 61.59 61.59 61.59
Atoms (fractional coordinates):
Rb 0.1215 0.1215 0.1215
Rb 0.8785 0.8785 0.8785
V 0.0000 0.5000 0.5000
V 0.5000 0.0000 0.5000
V 0.5000 0.5000 0.0000
Ag 0.5000 0.5000 0.5000
F 0.0917 0.6142 0.6142
F 0.2084 0.2084 0.5977
F 0.2084 0.5977 0.2084
F 0.3858 0.3858 0.9083
F 0.3858 0.9083 0.3858
F 0.4023 0.7916 0.7916
F 0.5977 0.2084 0.2084
F 0.6142 0.0917 0.6142
F 0.6142 0.6142 0.0917
F 0.7916 0.4023 0.7916
F 0.7916 0.7916 0.4023
F 0.9083 0.3858 0.3858